# 1
# RbCd4Au3

A geometry-optimized RbCd4Au3 structure (PBE, Alexandria).

The value obtained for the final energy is -2.0099 eV per atom. The calculation puts the energy of formation at -0.202 eV/atom. The calculation puts the density at 8.95 g/cm3.

It has space group P4/mmm (No. 123), with a = 4.764 Å, b = 4.764 Å, c = 9.207 Å, α = 90.00°, β = 90.00° and γ = 90.00°. The asymmetric unit holds Rb at (0.000, 0.000, 0.000), Cd at (0.000, 0.500, 0.328), Au at (0.000, 0.000, 0.500) and Au at (0.500, 0.500, 0.152).

***

# 2
# Mg3H4Ir3

A geometry-optimized Mg3H4Ir3 structure (PBE, Alexandria).

The value obtained for the final energy is -4.7165 eV per atom. The excess energy over the best structure of this formula in the dataset is 0.015 eV per atom. The calculation puts the density at 9.29 g/cm3.

It has space group P1 (No. 1), with a = 5.243 Å, b = 5.294 Å, c = 5.314 Å, α = 63.65°, β = 66.53° and γ = 66.69°. The asymmetric unit holds Mg at (0.000, 0.000, 0.000), Mg at (0.288, 0.288, 0.295), Mg at (0.610, 0.680, 0.685), H at (0.365, 0.038, 0.043), H at (0.791, 0.408, 0.412), H at (0.898, 0.985, 0.485), H at (0.903, 0.482, 0.990), Ir at (0.117, 0.668, 0.669), Ir at (0.575, 0.190, 0.695) and Ir at (0.577, 0.690, 0.194).

***

# 3
# La2Os

A geometry-optimized La2Os structure (PBE, Alexandria).

The value obtained for the final energy is -5.8065 eV per atom. The calculation puts the energy of formation at 1.222 eV/atom. The calculation puts the density at 10.22 g/cm3.

It has space group Fd-3m (No. 227, origin choice 2), with a = 8.474 Å, b = 8.474 Å, c = 8.474 Å, α = 90.00°, β = 90.00° and γ = 90.00°. The asymmetric unit holds La at (0.000, 0.000, 0.000) and Os at (0.125, 0.125, 0.625).

***

# 4
# Tb3Pm2NdTe6

A geometry-optimized Tb3Pm2NdTe6 structure (PBE, Alexandria).

Its uncorrected formation energy is -131.6 kJ/mol of atoms. The value obtained for the final energy is -5.2814 eV per atom. The calculation puts the density at 7.58 g/cm3.

It has space group C2/m (No. 12), with a = 19.329 Å, b = 4.392 Å, c = 8.918 Å, α = 90.00°, β = 103.94° and γ = 90.00°. The asymmetric unit holds Tb at (0.000, 0.000, 0.000), Tb at (0.166, 0.500, 0.333), Pm at (0.166, 0.500, 0.833), Nd at (0.000, 0.000, 0.500), Te at (0.002, 0.500, 0.244), Te at (0.165, 0.000, 0.088) and Te at (0.169, 0.000, 0.579).

***

# 5
# Ca3Ga8Pd3

A geometry-optimized Ca3Ga8Pd3 structure (PBE, Alexandria).

The value obtained for the final energy is -3.8844 eV per atom. The excess energy over the best structure of this formula in the dataset is 0.000 eV per atom. The calculation puts the energy of formation at -0.613 eV/atom. The calculation puts the density at 6.18 g/cm3.

It has space group Immm (No. 71), with a = 4.286 Å, b = 9.892 Å, c = 12.649 Å, α = 90.00°, β = 90.00° and γ = 90.00°. The asymmetric unit holds Ca at (0.000, 0.000, 0.000), Ca at (0.000, 0.000, 0.323), Ga at (0.000, 0.282, 0.123), Ga at (0.000, 0.365, 0.325), Pd at (0.000, 0.231, 0.500) and Pd at (0.000, 0.500, 0.000).

***

# 6
# LaTl2

A geometry-optimized LaTl2 structure (PBE, Alexandria).

The value obtained for the final energy is -3.4651 eV per atom. The calculation puts the energy of formation at -0.245 eV/atom. The calculation puts the density at 10.03 g/cm3.

It has space group I4/mmm (No. 139), with a = 3.826 Å, b = 3.826 Å, c = 12.397 Å, α = 90.00°, β = 90.00° and γ = 90.00°. The asymmetric unit holds La at (0.000, 0.000, 0.000) and Tl at (0.000, 0.000, 0.325).

***

- The highest density belongs to which entry?
  La2Os

***

- Which of these has the lowest final energy?
  La2Os

***

- Among the records above, which one has the lowest density?
  Ca3Ga8Pd3